1.
Entry from Alexandria via LeMat-Bulk: a relaxed Th8CoTe4Ru3 crystal (PBE).

Unit cell a=8.2937 b=8.2937 c=23.0986 alpha=90.00 beta=90.00 gamma=120.00
Space group R-3m (No. 166, hexagonal axes)
Inequivalent atoms, fractional coordinates:
1 Th 0.0000 0.0000 0.2335 [6 per cell]
2 Th 0.0046 0.5023 0.2323 [18 per cell]
3 Co 0.0000 0.0000 0.5000 [3 per cell]
4 Te 0.0000 0.0000 0.0000 [3 per cell]
5 Te 0.0000 0.5000 0.0000 [9 per cell]
6 Ru 0.0000 0.5000 0.5000 [9 per cell]

Summary:
energy relative to the elements, uncorrected	-83.0	kJ per mole of atoms
V	28.668	A^3/atom

***

2.
Entry from Alexandria via LeMat-Bulk: a relaxed Th6Co2TeRu3 crystal (PBE).

Unit cell a=17.854 b=4.078 c=8.466 alpha=90.00 beta=103.48 gamma=90.00
Space group C2/m (No. 12)
Inequivalent atoms, fractional coordinates:
1 Th 0.008 0.000 0.286 [4 per cell]
2 Th 0.171 0.500 0.586 [4 per cell]
3 Th 0.184 0.500 0.099 [4 per cell]
4 Co 0.171 0.000 0.340 [4 per cell]
5 Te 0.000 0.500 0.000 [2 per cell]
6 Ru 0.000 0.500 0.500 [2 per cell]
7 Ru 0.161 0.000 0.830 [4 per cell]

Summary:
energy relative to the elements, uncorrected	-38.9	kJ per mole of atoms
V	24.974	A^3/atom

***

3.
Entry from Alexandria via LeMat-Bulk: a relaxed Th6Co2Te3Ru crystal (PBE).

Unit cell a=19.292 b=4.150 c=9.024 alpha=90.00 beta=110.89 gamma=90.00
Space group C2/m (No. 12)
Inequivalent atoms, fractional coordinates:
1 Th 0.015 0.000 0.227 [4 per cell]
2 Th 0.156 0.500 0.114 [4 per cell]
3 Th 0.181 0.500 0.555 [4 per cell]
4 Co 0.168 0.000 0.335 [4 per cell]
5 Te 0.000 0.500 0.500 [2 per cell]
6 Te 0.165 0.000 0.831 [4 per cell]
7 Ru 0.000 0.500 0.000 [2 per cell]

Summary:
energy relative to the elements, uncorrected	-76.6	kJ per mole of atoms
V	28.122	A^3/atom

***

4.
Entry from Alexandria via LeMat-Bulk: a relaxed Th3CoTeRu crystal (PBE).

Unit cell a=8.431 b=4.182 c=9.853 alpha=90.00 beta=114.16 gamma=90.00
Space group P2_1/m (No. 11)
Inequivalent atoms, fractional coordinates:
1 Th 0.159 0.250 0.146 [2 per cell]
2 Th 0.218 0.750 0.469 [2 per cell]
3 Th 0.300 0.750 0.869 [2 per cell]
4 Co 0.020 0.750 0.615 [2 per cell]
5 Te 0.497 0.750 0.285 [2 per cell]
6 Ru 0.067 0.250 0.836 [2 per cell]

Summary:
energy relative to the elements, uncorrected	-53.6	kJ per mole of atoms
V	26.414	A^3/atom

***

5.
Entry from Alexandria via LeMat-Bulk: a relaxed TlCoTeRu2 crystal (PBE).

Unit cell a=5.035 b=5.035 c=4.720 alpha=90.00 beta=90.00 gamma=90.00
Space group P4/mmm (No. 123)
Inequivalent atoms, fractional coordinates:
1 Tl 0.000 0.000 0.000 [1 per cell]
2 Co 0.000 0.000 0.500 [1 per cell]
3 Te 0.500 0.500 0.500 [1 per cell]
4 Ru 0.000 0.500 0.000 [2 per cell]

Summary:
energy relative to the elements, uncorrected	179.2	kJ per mole of atoms
V	23.934	A^3/atom

***

6.
Entry from Alexandria via LeMat-Bulk: a relaxed ZnCoTe2Ru crystal (PBE).

Unit cell a=5.165 b=5.165 c=4.689 alpha=90.00 beta=90.00 gamma=90.00
Space group P4/mmm (No. 123)
Inequivalent atoms, fractional coordinates:
1 Zn 0.000 0.000 0.000 [1 per cell]
2 Co 0.500 0.500 0.000 [1 per cell]
3 Te 0.000 0.500 0.500 [2 per cell]
4 Ru 0.500 0.500 0.500 [1 per cell]

Summary:
energy relative to the elements, uncorrected	76.9	kJ per mole of atoms
V	25.019	A^3/atom

***

7.
Entry from Alexandria via LeMat-Bulk: a relaxed ThCoRu crystal (PBE).

Unit cell a=4.976 b=5.526 c=7.647 alpha=90.00 beta=90.00 gamma=90.00
Space group Imma (No. 74)
Inequivalent atoms, fractional coordinates:
1 Th 0.000 0.250 0.119 [4 per cell]
2 Co 0.250 0.250 0.750 [4 per cell]
3 Ru 0.000 0.000 0.500 [4 per cell]

Summary:
ΔH_f (0 K)	-0.81	eV per formula unit
V	17.522	A^3/atom

***

8.
Entry from Alexandria via LeMat-Bulk: a relaxed Th4CoRu crystal (PBE).

Unit cell a=6.223 b=6.942 c=7.615 alpha=90.00 beta=107.74 gamma=90.00
Space group P2_1/m (No. 11)
Inequivalent atoms, fractional coordinates:
1 Th 0.000 0.002 0.243 [4 per cell]
2 Th 0.432 0.250 0.616 [2 per cell]
3 Th 0.441 0.250 0.104 [2 per cell]
4 Co 0.199 0.750 0.052 [2 per cell]
5 Ru 0.218 0.750 0.550 [2 per cell]

Summary:
ΔH_f (0 K)	-1.77	eV per formula unit
V	26.111	A^3/atom

***

9.
Entry from Alexandria via LeMat-Bulk: a relaxed ThCoRu crystal (PBE).

Unit cell a=3.629 b=3.629 c=8.264 alpha=90.00 beta=90.00 gamma=90.00
Space group I4mm (No. 107)
Inequivalent atoms, fractional coordinates:
1 Th 0.000 0.000 0.000 [2 per cell]
2 Co 0.000 0.000 0.699 [2 per cell]
3 Ru 0.000 0.000 0.307 [2 per cell]

Summary:
ΔH_f (0 K)	0.04	eV per formula unit
V	18.145	A^3/atom

***

10.
Entry from Alexandria via LeMat-Bulk: a relaxed ThCo4Ru crystal (PBE).

Unit cell a=7.032 b=7.032 c=7.032 alpha=90.00 beta=90.00 gamma=90.00
Space group F-43m (No. 216)
Inequivalent atoms, fractional coordinates:
1 Th 0.000 0.000 0.000 [4 per cell]
2 Co 0.124 0.124 0.624 [16 per cell]
3 Ru 0.250 0.250 0.250 [4 per cell]

Summary:
ΔH_f (0 K)	0.04	eV per formula unit
V	14.490	A^3/atom

***

11.
Entry from Alexandria via LeMat-Bulk: a relaxed Th2Co2Ru crystal (PBE).

Unit cell a=7.168 b=7.168 c=7.321 alpha=90.00 beta=90.00 gamma=90.00
Space group P4/mnc (No. 128)
Inequivalent atoms, fractional coordinates:
1 Th 0.189 0.311 0.000 [8 per cell]
2 Co 0.118 0.618 0.250 [8 per cell]
3 Ru 0.000 0.000 0.250 [4 per cell]

Summary:
ΔH_f (0 K)	-1.36	eV per formula unit
V	18.808	A^3/atom

***

12.
Entry from Alexandria via LeMat-Bulk: a relaxed ThCoRu crystal (PBE).

Unit cell a=4.1411 b=4.1411 c=3.9901 alpha=90.00 beta=90.00 gamma=120.00
Space group P-6m2 (No. 187)
Inequivalent atoms, fractional coordinates:
1 Th 0.0000 0.0000 0.0000 [1 per cell]
2 Co 0.6667 0.3333 0.5000 [1 per cell]
3 Ru 0.3333 0.6667 0.5000 [1 per cell]

Summary:
ΔH_f (0 K)	-0.69	eV per formula unit
V	19.753	A^3/atom